Entry 1:
PRhSe2: optimized geometry, PBE.

abc: 4.806 3.526 4.925
angles: 90.00 119.12 90.00
Space group Pm (No. 6)
Unique sites:
P1 0.000 0.000 0.000
Rh1 0.789 0.500 0.165
Se1 0.240 0.500 0.709
Se2 0.559 0.000 0.375

formation energy from raw total energies: -53.6 kJ/mol of formula units
calculated volume: 72.90 Å³/cell
spin magnetization: 0.0 μB per formula unit
electronic total energy: -5.0715 eV/atom
DOS(E_F): 2.46 states/eV per cell

=====

Entry 2:
P2RhSe: optimized geometry, PBE.

abc: 3.4525 3.4525 18.8692
angles: 90.00 90.00 120.00
Space group R-3m (No. 166, hexagonal axes)
Unique sites:
P1 0.0000 0.0000 0.2411
Rh1 0.0000 0.0000 0.5000
Se1 0.0000 0.0000 0.0000

formation energy from raw total energies: -6.7 kJ/mol of formula units
calculated volume: 194.79 Å³/cell
spin magnetization: 0.0 μB per formula unit
electronic total energy: -5.4313 eV/atom
DOS(E_F): 6.14 states/eV per cell

=====

Entry 3:
P2RhSe: optimized geometry, PBE.

abc: 5.443 7.046 3.243
angles: 90.00 90.00 90.00
Space group Cmmm (No. 65)
Unique sites:
P1 0.250 0.250 0.000
Rh1 0.000 0.000 0.500
Se1 0.000 0.500 0.500

formation energy from raw total energies: 162.3 kJ/mol of formula units
calculated volume: 124.38 Å³/cell
spin magnetization: 0.0 μB per formula unit
electronic total energy: -4.9935 eV/atom
DOS(E_F): 4.61 states/eV per cell

=====

Entry 4:
PRhSe2: optimized geometry, PBE.

abc: 5.011 7.922 3.622
angles: 90.00 90.00 90.00
Space group Cmmm (No. 65)
Unique sites:
P1 0.000 0.000 0.000
Rh1 0.000 0.500 0.000
Se1 0.000 0.280 0.500

formation energy from raw total energies: -4.2 kJ/mol of formula units
calculated volume: 143.79 Å³/cell
spin magnetization: 0.0 μB per formula unit
electronic total energy: -4.9435 eV/atom
DOS(E_F): 4.39 states/eV per cell

=====

Entry 5:
P2RhSe: optimized geometry, PBE.

abc: 3.024 4.415 4.588
angles: 90.00 90.00 90.00
Space group Pmmm (No. 47)
Unique sites:
P1 0.000 0.000 0.000
P2 0.500 0.500 0.000
Rh1 0.000 0.500 0.500
Se1 0.500 0.000 0.500

formation energy from raw total energies: 159.8 kJ/mol of formula units
calculated volume: 61.27 Å³/cell
spin magnetization: 0.0 μB per formula unit
electronic total energy: -4.9999 eV/atom
DOS(E_F): 2.59 states/eV per cell

=====

Entry 6:
P2RhSe2: optimized geometry, PBE.

abc: 5.108 5.108 7.003
angles: 90.00 90.00 90.00
Space group I4/mmm (No. 139)
Unique sites:
P1 0.000 0.000 0.169
Rh1 0.000 0.000 0.500
Se1 0.000 0.500 0.250

formation energy from raw total energies: 187.6 kJ/mol of formula units
calculated volume: 182.74 Å³/cell
spin magnetization: 0.0 μB per formula unit
electronic total energy: -4.6391 eV/atom
DOS(E_F): 5.32 states/eV per cell

=====

Entry 7:
PRhSe2: optimized geometry, PBE.

abc: 3.155 3.155 6.768
angles: 90.00 90.00 90.00
Space group P4/mmm (No. 123)
Unique sites:
P1 0.000 0.000 0.000
Rh1 0.000 0.000 0.500
Se1 0.500 0.500 0.268

formation energy from raw total energies: 149.9 kJ/mol of formula units
calculated volume: 67.35 Å³/cell
spin magnetization: 0.0 μB per formula unit
electronic total energy: -4.5442 eV/atom
DOS(E_F): 3.23 states/eV per cell

=====

Entry 8:
P2RhSe: optimized geometry, PBE.

abc: 3.401 3.637 12.160
angles: 90.00 90.00 90.00
Space group Imm2 (No. 44)
Unique sites:
P1 0.000 0.000 0.000
P2 0.000 0.500 0.379
Rh1 0.000 0.000 0.527
Se1 0.000 0.500 0.676

formation energy from raw total energies: 9.6 kJ/mol of formula units
calculated volume: 150.43 Å³/cell
spin magnetization: 0.0 μB per formula unit
electronic total energy: -5.3891 eV/atom
DOS(E_F): 3.42 states/eV per cell